Below is an optimized crystal structure of Sm4Cd2N, with properties calculated at the GGA-PBE level.

Unit cell a=6.5738 b=3.5674 c=8.2000 alpha=90.00 beta=103.21 gamma=90.00
With the nearest neighbours (Å) after each atom.
Space group P2/m (No. 10)
One atom of each set of equivalent atoms:
Sm: 0.1478 0.0000 0.3202 (multiplicity 2)  1 N 2.58
Sm: 0.2322 0.5000 0.9684 (multiplicity 2)  2 N 2.40
Cd: 0.4111 0.5000 0.6522 (multiplicity 2)  1 Cd 2.99, 1 Sm 3.08
N: 0.0000 0.0000 0.0000 (multiplicity 1)  6 Sm 2.40-2.58

The final energy comes out at -32.1 eV per formula unit. The calculation puts the energy above the lowest structure with this stoichiometry at 89 meV/atom. Its density of states at the Fermi level is 1.178 states/eV per atom. For the formation energy from raw total energies, the calculation gives -0.442 eV/atom. The calculated density comes out at 7453 kg/m³. The calculation puts the spin magnetization at 0.084 μB per atom.